DFT (GGA-PBE) results for a relaxed CdTcSnO6 crystal.

```
data_CdTcSnO6
_symmetry_space_group_name_H-M 'P -3 1 c'
_symmetry_Int_Tables_number 163
_symmetry_space_group_name_Hall '-P 3 2c'
_cell_length_a 5.3569
_cell_length_b 5.3569
_cell_length_c 9.5851
_cell_angle_alpha 90.00
_cell_angle_beta 90.00
_cell_angle_gamma 120.00
loop_
_atom_site_label
_atom_site_type_symbol
_atom_site_fract_x
_atom_site_fract_y
_atom_site_fract_z
_atom_site_occupancy
Cd1 Cd 0.0000 0.0000 0.0000 1
Tc1 Tc 0.3333 0.6667 0.2500 1
Sn1 Sn 0.3333 0.6667 0.7500 1
O1 O 0.0213 0.3776 0.1374 1
```

Calculated values
* N(E_F): 0.32 states/eV/atom
* final energy: -6.2746 eV per atom
* magnetization: 0.973 μB per formula unit